LiBe2Br (PBE-GGA, relaxed); space-group type = Cmm2 (35); formation energy without anion corrections = 0.387 eV per atom; polymorph energy (0 for the lowest one) = 285 meV/atom; D(E_F) = 0.13 states/eV/atom
1.0
1.609 -2.849 0.000
1.609 2.849 0.000
0.000 0.000 7.577
Li Be Br
1 2 1
direct
0.000 0.000 0.000
0.000 0.000 0.482
0.500 0.500 0.272
0.500 0.500 0.707